No. 1
Compound: Sr4Hg2Te
Source: Alexandria via LeMat-Bulk
Functional: GGA-PBE
Structure: optimized geometry

abc: 6.3246 6.3246 9.1184
angles: 69.71 69.71 90.00
Closest atoms and distances in Å follow each position.
Element x y z (fractional)
1 Sr 0.7928 0.7928 0.4144  1 Hg 3.18, 1 Te 3.29
2 Sr 0.2072 0.2072 0.5856  1 Hg 3.18, 1 Te 3.29
3 Sr 0.0000 0.5000 0.0000  2 Te 3.16, 4 Hg 3.49
4 Sr 0.5000 0.0000 0.0000  2 Te 3.16, 4 Hg 3.49
5 Te 0.0000 0.0000 0.0000  6 Sr 3.16-3.29
6 Hg 0.5928 0.5928 0.8144  1 Hg 2.95, 1 Sr 3.18
7 Hg 0.4072 0.4072 0.1856  1 Hg 2.95, 1 Sr 3.18

Summary:
Magnetization, μB/atom: 0.00
Energy relative to the elements, uncorrected, eV per atom: -0.523


No. 2
Compound: Tb5DySc4
Source: Alexandria via LeMat-Bulk
Functional: GGA-PBE
Structure: optimized geometry

abc: 3.4907 3.4907 23.5531
angles: 90.00 90.00 90.00
Closest atoms and distances in Å follow each position.
Element x y z (fractional)
1 Tb 0.5000 0.5000 0.1078  4 Sc 3.39, 4 Tb 3.49, 4 Dy 3.54
2 Tb 0.5000 0.5000 0.3043  8 Sc 3.38, 4 Tb 3.49
3 Tb 0.5000 0.5000 0.5000  8 Sc 3.38, 4 Tb 3.49
4 Tb 0.5000 0.5000 0.6957  8 Sc 3.38, 4 Tb 3.49
5 Tb 0.5000 0.5000 0.8922  4 Sc 3.39, 4 Tb 3.49, 4 Dy 3.54
6 Dy 0.0000 0.0000 0.0000  4 Dy 3.49, 8 Tb 3.54
7 Sc 0.0000 0.0000 0.2061  8 Tb 3.38-3.39, 4 Sc 3.49
8 Sc 0.0000 0.0000 0.4020  8 Tb 3.38, 4 Sc 3.49
9 Sc 0.0000 0.0000 0.5980  8 Tb 3.38, 4 Sc 3.49
10 Sc 0.0000 0.0000 0.7939  8 Tb 3.38-3.39, 4 Sc 3.49

Summary:
Magnetization, μB/atom: 0.00
Energy above the lowest structure with this stoichiometry, eV/f.u.: 0.00
Energy of formation, kJ/mol of formula units: 44


No. 3
Compound: LuTiPtRh
Source: Alexandria via LeMat-Bulk
Functional: GGA-PBE
Structure: optimized geometry

abc: 4.6234 4.6234 4.6234
angles: 60.00 60.00 60.00
Closest atoms and distances in Å follow each position.
Element x y z (fractional)
1 Lu 0.5000 0.5000 0.5000  4 Rh 2.83, 4 Pt 2.83
2 Rh 0.7500 0.7500 0.7500  4 Lu 2.83, 4 Ti 2.83
3 Pt 0.2500 0.2500 0.2500  4 Ti 2.83, 4 Lu 2.83
4 Ti 0.0000 0.0000 0.0000  4 Rh 2.83, 4 Pt 2.83

Summary:
Magnetization, μB/atom: 0.00
Energy of formation, kJ/mol of formula units: -336


No. 4
Compound: La12SmSn3
Source: Alexandria via LeMat-Bulk
Functional: GGA-PBE
Structure: optimized geometry

abc: 5.0634 5.0634 20.5212
angles: 90.00 90.00 90.00
Closest atoms and distances in Å follow each position.
Element x y z (fractional)
1 La 0.5000 0.5000 0.0000  4 Sm 3.58, 8 La 3.71
2 La 0.5000 0.5000 0.2567  8 La 3.55-3.59, 4 Sn 3.58
3 La 0.5000 0.5000 0.5000  8 La 3.56, 4 Sn 3.58
4 La 0.5000 0.5000 0.7433  8 La 3.55-3.59, 4 Sn 3.58
5 La 0.5000 0.0000 0.1325  2 Sn 3.57, 8 La 3.58-3.71, 2 Sm 3.71
6 La 0.5000 0.0000 0.3783  8 La 3.55-3.58, 4 Sn 3.56-3.58
7 La 0.5000 0.0000 0.6217  8 La 3.55-3.58, 4 Sn 3.56-3.58
8 La 0.5000 0.0000 0.8675  2 Sn 3.57, 8 La 3.58-3.71, 2 Sm 3.71
9 La 0.0000 0.5000 0.1325  2 Sn 3.57, 8 La 3.58-3.71, 2 Sm 3.71
10 La 0.0000 0.5000 0.3783  8 La 3.55-3.58, 4 Sn 3.56-3.58
11 La 0.0000 0.5000 0.6217  8 La 3.55-3.58, 4 Sn 3.56-3.58
12 La 0.0000 0.5000 0.8675  2 Sn 3.57, 8 La 3.58-3.71, 2 Sm 3.71
13 Sm 0.0000 0.0000 0.0000  12 La 3.58-3.71
14 Sn 0.0000 0.0000 0.2553  12 La 3.57-3.58
15 Sn 0.0000 0.0000 0.5000  12 La 3.56-3.58
16 Sn 0.0000 0.0000 0.7447  12 La 3.57-3.58

Summary:
Magnetization, μB/atom: 0.00
Energy of formation, kJ/mol of formula units: -544


No. 5
Compound: SrAcPm2
Source: Alexandria via LeMat-Bulk
Functional: GGA-PBE
Structure: optimized geometry

abc: 6.1202 6.1202 6.1202
angles: 60.00 60.00 60.00
Closest atoms and distances in Å follow each position.
Element x y z (fractional)
1 Sr 0.5000 0.5000 0.5000  8 Pm 3.75
2 Ac 0.0000 0.0000 0.0000  8 Pm 3.75
3 Pm 0.2500 0.2500 0.2500  4 Ac 3.75, 4 Sr 3.75
4 Pm 0.7500 0.7500 0.7500  4 Ac 3.75, 4 Sr 3.75

Summary:
Magnetization, μB/atom: 0.00
Energy above the lowest structure with this stoichiometry, eV/f.u.: 0.38
Energy of formation, kJ/mol of formula units: 78


No. 6
Compound: Dy2Ga9Ru3
Source: Alexandria via LeMat-Bulk
Functional: GGA-PBE
Structure: optimized geometry

abc: 7.4792 7.4792 9.7161
angles: 90.00 90.00 119.22
Closest atoms and distances in Å follow each position.
Element x y z (fractional)
1 Dy 0.3254 0.0019 0.7500  11 Ga 3.03-3.17
2 Dy 0.6746 0.9981 0.2500  11 Ga 3.03-3.17
3 Dy 0.0019 0.3254 0.7500  11 Ga 3.03-3.17
4 Dy 0.9981 0.6746 0.2500  11 Ga 3.03-3.17
5 Ga 0.8680 0.8680 0.7500  2 Ru 2.63, 6 Ga 2.73-2.76
6 Ga 0.1320 0.1320 0.2500  2 Ru 2.63, 6 Ga 2.73-2.76
7 Ga 0.6619 0.6619 0.4383  3 Ru 2.63-2.65, 5 Ga 2.73-2.82
8 Ga 0.3381 0.3381 0.9383  3 Ru 2.63-2.65, 5 Ga 2.73-2.82
9 Ga 0.6619 0.6619 0.0617  3 Ru 2.63-2.65, 5 Ga 2.73-2.82
10 Ga 0.3381 0.3381 0.5617  3 Ru 2.63-2.65, 5 Ga 2.73-2.82
11 Ga 0.4458 0.6609 0.7500  2 Ru 2.62, 6 Ga 2.76-2.82
12 Ga 0.5542 0.3391 0.2500  2 Ru 2.62, 6 Ga 2.76-2.82
13 Ga 0.6609 0.4458 0.7500  2 Ru 2.62, 6 Ga 2.76-2.82
14 Ga 0.3391 0.5542 0.2500  2 Ru 2.62, 6 Ga 2.76-2.82
15 Ga 0.0087 0.3373 0.0765  3 Ru 2.55-2.60, 3 Ga 2.73-2.80
16 Ga 0.9913 0.6627 0.5765  3 Ru 2.55-2.60, 3 Ga 2.73-2.80
17 Ga 0.3373 0.0087 0.4235  3 Ru 2.55-2.60, 3 Ga 2.73-2.80
18 Ga 0.6627 0.9913 0.9235  3 Ru 2.55-2.60, 3 Ga 2.73-2.80
19 Ga 0.9913 0.6627 0.9235  3 Ru 2.55-2.60, 3 Ga 2.73-2.80
20 Ga 0.0087 0.3373 0.4235  3 Ru 2.55-2.60, 3 Ga 2.73-2.80
21 Ga 0.6627 0.9913 0.5765  3 Ru 2.55-2.60, 3 Ga 2.73-2.80
22 Ga 0.3373 0.0087 0.0765  3 Ru 2.55-2.60, 3 Ga 2.73-2.80
23 Ru 0.0000 0.0000 0.5000  8 Ga 2.60-2.63
24 Ru 0.0000 0.0000 0.0000  8 Ga 2.60-2.63
25 Ru 0.6763 0.3237 0.5000  8 Ga 2.55-2.65
26 Ru 0.3237 0.6763 0.0000  8 Ga 2.55-2.65
27 Ru 0.3237 0.6763 0.5000  8 Ga 2.55-2.65
28 Ru 0.6763 0.3237 0.0000  8 Ga 2.55-2.65

Summary:
Magnetization, μB/atom: 0.00
Energy of formation, kJ/mol of formula units: -731


No. 7
Compound: Nd2GaSe4
Source: Alexandria via LeMat-Bulk
Functional: GGA-PBE
Structure: optimized geometry

abc: 7.0121 7.0121 6.3032
angles: 123.80 123.80 90.00
Closest atoms and distances in Å follow each position.
Element x y z (fractional)
1 Nd 0.7500 0.2500 0.5000  4 Se 2.97
2 Nd 0.2500 0.7500 0.5000  4 Se 2.97
3 Ga 0.5000 0.5000 0.0000  4 Se 2.55
4 Se 0.7946 0.2841 0.0787  1 Ga 2.55
5 Se 0.2841 0.7946 0.0787  1 Ga 2.55
6 Se 0.7159 0.7159 0.9213  1 Ga 2.55
7 Se 0.2054 0.2054 0.9213  1 Ga 2.55

Summary:
Magnetization, μB/atom: 0.00
Energy relative to the elements, uncorrected, eV per atom: -1.251


No. 8
Compound: La2ZnAs3Pt4
Source: Alexandria via LeMat-Bulk
Functional: GGA-PBE
Structure: optimized geometry

abc: 4.4137 4.4137 10.2096
angles: 90.00 90.00 90.00
Closest atoms and distances in Å follow each position.
Element x y z (fractional)
1 La 0.5000 0.0000 0.2445  6 As 3.32-3.42, 8 Pt 3.33-3.39, 2 Zn 3.42
2 La 0.0000 0.5000 0.7555  6 As 3.32-3.42, 8 Pt 3.33-3.39, 2 Zn 3.42
3 Zn 0.5000 0.5000 0.5000  4 Pt 2.55
4 As 0.0000 0.0000 0.5000  4 Pt 2.55
5 As 0.5000 0.0000 0.8669  5 Pt 2.47-2.59
6 As 0.0000 0.5000 0.1331  5 Pt 2.47-2.59
7 Pt 0.5000 0.5000 0.0000  4 As 2.59
8 Pt 0.0000 0.0000 0.0000  4 As 2.59
9 Pt 0.5000 0.0000 0.6247  3 As 2.47-2.55, 2 Zn 2.55
10 Pt 0.0000 0.5000 0.3753  3 As 2.47-2.55, 2 Zn 2.55

Summary:
Magnetization, μB/atom: 0.00
Energy of formation, kJ/mol of formula units: -898


No. 9
Compound: Cs2MnCoCl6
Source: Alexandria via LeMat-Bulk
Functional: GGA-PBE
Structure: optimized geometry

abc: 7.1698 7.1698 7.1668
angles: 59.99 59.99 90.00
Closest atoms and distances in Å follow each position.
Element x y z (fractional)
1 Cs 0.7500 0.2500 0.5000  12 Cl 3.58-3.59
2 Cs 0.2500 0.7500 0.5000  12 Cl 3.58-3.59
3 Mn 0.5000 0.5000 0.0000  6 Cl 2.56-2.57
4 Co 0.0000 0.0000 0.0000  6 Cl 2.50-2.51
5 Cl 0.2463 0.2463 0.5074  1 Co 2.50, 1 Mn 2.57
6 Cl 0.7537 0.7537 0.4926  1 Co 2.50, 1 Mn 2.57
7 Cl 0.2471 0.2471 0.0000  1 Co 2.51, 1 Mn 2.56
8 Cl 0.7529 0.7529 0.0000  1 Co 2.51, 1 Mn 2.56
9 Cl 0.7529 0.2471 0.0000  1 Co 2.51, 1 Mn 2.56
10 Cl 0.2471 0.7529 0.0000  1 Co 2.51, 1 Mn 2.56

Summary:
Magnetization, μB/atom: 0.77
Energy relative to the elements, uncorrected, eV per atom: -1.254


No. 10
Compound: BaPmPr2Hg4
Source: Alexandria via LeMat-Bulk
Functional: GGA-PBE
Structure: optimized geometry

abc: 5.5316 5.5316 9.7313
angles: 73.49 73.49 60.00
Closest atoms and distances in Å follow each position.
Element x y z (fractional)
1 Ba 0.0000 0.0000 0.0000  8 Hg 3.48-3.57
2 Pm 0.5000 0.5000 0.5000  8 Hg 3.22-3.35
3 Pr 0.7521 0.7521 0.7437  7 Hg 3.27-3.42
4 Pr 0.2479 0.2479 0.2563  7 Hg 3.27-3.42
5 Hg 0.3831 0.3831 0.8506  1 Pm 3.22, 3 Pr 3.34, 3 Ba 3.48
6 Hg 0.8706 0.8706 0.3883  4 Pr 3.27-3.42, 3 Pm 3.35, 1 Ba 3.57
7 Hg 0.1294 0.1294 0.6117  4 Pr 3.27-3.42, 3 Pm 3.35, 1 Ba 3.57
8 Hg 0.6169 0.6169 0.1494  1 Pm 3.22, 3 Pr 3.34, 3 Ba 3.48

Summary:
Magnetization, μB/atom: 0.08
Energy of formation, kJ/mol of formula units: -339


No. 11
Compound: TlGeBr6
Source: Alexandria via LeMat-Bulk
Functional: GGA-PBE
Structure: optimized geometry

abc: 6.9334 6.9332 7.5140
angles: 62.50 62.43 59.91
Closest atoms and distances in Å follow each position.
Element x y z (fractional)
1 Tl 0.5000 0.5000 0.5000  6 Br 3.12
2 Ge 0.0000 0.0000 0.0000  6 Br 2.52
3 Br 0.0456 0.3882 0.7747  1 Ge 2.52
4 Br 0.7916 0.0456 0.7749  1 Ge 2.52
5 Br 0.6112 0.2092 0.2251  1 Ge 2.52
6 Br 0.2084 0.9544 0.2251  1 Ge 2.52
7 Br 0.9544 0.6118 0.2253  1 Ge 2.52
8 Br 0.3888 0.7908 0.7749  1 Ge 2.52

Summary:
Magnetization, μB/atom: 0.00
Energy relative to the elements, uncorrected, eV per atom: -0.388


No. 12
Compound: NbAlGaRh
Source: Alexandria via LeMat-Bulk
Functional: GGA-PBE
Structure: optimized geometry

abc: 2.8084 2.8188 8.6616
angles: 99.36 90.00 90.00
Closest atoms and distances in Å follow each position.
Element x y z (fractional)
1 Nb 0.0000 0.9307 0.8615  1 Ga 2.71, 4 Nb 2.81-2.82, 2 Al 2.81
2 Al 0.0000 0.5729 0.1458  4 Rh 2.58, 4 Al 2.81-2.82, 2 Nb 2.81
3 Ga 0.0000 0.7722 0.5445  4 Rh 2.66, 1 Nb 2.71, 4 Ga 2.81-2.82
4 Rh 0.5000 0.1690 0.3380  4 Al 2.58, 4 Ga 2.66, 4 Rh 2.81-2.82

Summary:
Magnetization, μB/atom: 0.00
Energy of formation, kJ/mol of formula units: -63